[1]
DFT (PBE) results for a relaxed CsTe2IF crystal.

abc: 4.961 4.961 7.445
angles: 90.00 90.00 90.00
Space group P4/mmm (No. 123)
One atom of each set of equivalent atoms:
Cs  0.000  0.000  0.000 [1 per cell]
Te  0.000  0.500  0.500 [2 per cell]
I  0.500  0.500  0.000 [1 per cell]
F  0.500  0.500  0.500 [1 per cell]

Formation energy without anion corrections: -0.561 eV per atom
E: -2.67 eV per atom
Polymorph energy (0 for the lowest one): 0 meV/atom


[2]
DFT (PBE) results for a relaxed Cs2ThI4F2 crystal.

abc: 13.476 9.014 6.667
angles: 90.00 103.93 90.00
Space group C2/m (No. 12)
One atom of each set of equivalent atoms:
Cs  0.177  0.000  0.338 [4 per cell]
Th  0.000  0.500  0.000 [2 per cell]
I  0.102  0.245  0.798 [8 per cell]
F  0.130  0.500  0.259 [4 per cell]

Formation energy without anion corrections: -2.158 eV per atom
E: -4.28 eV per atom


[3]
DFT (PBE) results for a relaxed Cs2TiI2F4 crystal.

abc: 7.642 7.642 9.606
angles: 90.00 90.00 90.00
Space group I4/mmm (No. 139)
One atom of each set of equivalent atoms:
Cs  0.000  0.500  0.250 [4 per cell]
Ti  0.000  0.000  0.000 [2 per cell]
I  0.000  0.000  0.296 [4 per cell]
F  0.173  0.173  0.000 [8 per cell]

Formation energy without anion corrections: -2.531 eV per atom
E: -4.77 eV per atom


[4]
DFT (PBE) results for a relaxed Cs2TiIF6 crystal.

abc: 7.318 7.318 9.293
angles: 90.00 90.00 90.00
Space group I4/mmm (No. 139)
One atom of each set of equivalent atoms:
Cs  0.000  0.500  0.250 [4 per cell]
Ti  0.000  0.000  0.000 [2 per cell]
I  0.000  0.000  0.500 [2 per cell]
F  0.000  0.000  0.205 [4 per cell]
F  0.182  0.182  0.000 [8 per cell]

Formation energy without anion corrections: -2.778 eV per atom
E: -5.02 eV per atom


[5]
DFT (PBE) results for a relaxed Cs2TiI4F2 crystal.

abc: 13.131 8.411 6.654
angles: 90.00 106.33 90.00
Space group C2/m (No. 12)
One atom of each set of equivalent atoms:
Cs  0.180  0.000  0.343 [4 per cell]
Ti  0.000  0.500  0.000 [2 per cell]
I  0.092  0.261  0.813 [8 per cell]
F  0.119  0.500  0.229 [4 per cell]

Formation energy without anion corrections: -1.802 eV per atom
E: -3.97 eV per atom


[6]
DFT (PBE) results for a relaxed Cs2Tl4I3F2 crystal.

abc: 5.369 5.369 31.615
angles: 90.00 90.00 90.00
Space group I4/mmm (No. 139)
One atom of each set of equivalent atoms:
Cs  0.000  0.000  0.192 [4 per cell]
Tl  0.000  0.500  0.080 [8 per cell]
I  0.000  0.000  0.321 [4 per cell]
I  0.000  0.000  0.500 [2 per cell]
F  0.000  0.000  0.101 [4 per cell]

Formation energy without anion corrections: -1.214 eV per atom
E: -2.99 eV per atom


[7]
DFT (PBE) results for a relaxed Cs2TlIF6 crystal.

abc: 6.662 6.662 11.849
angles: 90.00 90.00 90.00
Space group I4/mmm (No. 139)
One atom of each set of equivalent atoms:
Cs  0.000  0.500  0.250 [4 per cell]
Tl  0.000  0.000  0.000 [2 per cell]
I  0.000  0.000  0.500 [2 per cell]
F  0.000  0.000  0.219 [4 per cell]
F  0.219  0.219  0.500 [8 per cell]

Formation energy without anion corrections: -1.986 eV per atom
E: -3.67 eV per atom


[8]
DFT (PBE) results for a relaxed CsTlIF crystal.

abc: 4.717 4.718 8.601
angles: 78.99 79.29 65.14
Space group P1 (No. 1)
One atom of each set of equivalent atoms:
Cs  0.000  0.000  0.000 [1 per cell]
Tl  0.450  0.456  0.419 [1 per cell]
I  0.730  0.736  0.652 [1 per cell]
F  0.629  0.626  0.132 [1 per cell]

Formation energy without anion corrections: -1.605 eV per atom
E: -3.27 eV per atom


[9]
DFT (PBE) results for a relaxed Cs2TlI2F2 crystal.

abc: 5.172 5.172 18.784
angles: 90.00 90.00 90.00
Space group I4/mmm (No. 139)
One atom of each set of equivalent atoms:
Cs  0.000  0.000  0.108 [4 per cell]
Tl  0.000  0.000  0.500 [2 per cell]
I  0.000  0.000  0.332 [4 per cell]
F  0.000  0.500  0.000 [4 per cell]

Formation energy without anion corrections: -1.677 eV per atom
E: -3.24 eV per atom


[10]
DFT (PBE) results for a relaxed Cs2UI5F crystal.

abc: 8.792 8.792 11.455
angles: 90.00 90.00 90.00
Space group I4mm (No. 107)
One atom of each set of equivalent atoms:
Cs  0.000  0.500  0.000 [4 per cell]
U  0.000  0.000  0.248 [2 per cell]
I  0.000  0.000  0.510 [2 per cell]
I  0.246  0.246  0.250 [8 per cell]
F  0.000  0.000  0.069 [2 per cell]

Formation energy without anion corrections: -1.566 eV per atom
E: -4.08 eV per atom


[11]
DFT (PBE) results for a relaxed Cs2UI2F4 crystal.

abc: 7.790 7.790 10.546
angles: 90.00 90.00 90.00
Space group I4/mmm (No. 139)
One atom of each set of equivalent atoms:
Cs  0.000  0.500  0.250 [4 per cell]
U  0.000  0.000  0.000 [2 per cell]
I  0.000  0.000  0.296 [4 per cell]
F  0.193  0.193  0.000 [8 per cell]

Formation energy without anion corrections: -2.602 eV per atom
E: -5.22 eV per atom


[12]
DFT (PBE) results for a relaxed Cs2UI4F2 crystal.

abc: 13.547 8.828 6.696
angles: 90.00 95.23 90.00
Space group C2/m (No. 12)
One atom of each set of equivalent atoms:
Cs  0.155  0.000  0.287 [4 per cell]
U  0.000  0.500  0.000 [2 per cell]
I  0.107  0.248  0.781 [8 per cell]
F  0.114  0.500  0.224 [4 per cell]

Formation energy without anion corrections: -1.936 eV per atom
E: -4.49 eV per atom


[13]
DFT (PBE) results for a relaxed CsUI2F6 crystal.

abc: 7.423 7.423 10.529
angles: 90.00 90.00 90.00
Space group I4/mmm (No. 139)
One atom of each set of equivalent atoms:
Cs  0.000  0.000  0.000 [2 per cell]
U  0.000  0.000  0.500 [2 per cell]
I  0.000  0.500  0.250 [4 per cell]
F  0.000  0.000  0.304 [4 per cell]
F  0.196  0.196  0.500 [8 per cell]

Formation energy without anion corrections: -2.560 eV per atom
E: -5.21 eV per atom


[14]
DFT (PBE) results for a relaxed Cs2ZrI4F2 crystal.

abc: 13.275 8.596 6.722
angles: 90.00 106.85 90.00
Space group C2/m (No. 12)
One atom of each set of equivalent atoms:
Cs  0.182  0.000  0.345 [4 per cell]
Zr  0.000  0.500  0.000 [2 per cell]
I  0.094  0.256  0.810 [8 per cell]
F  0.128  0.500  0.248 [4 per cell]

Formation energy without anion corrections: -1.936 eV per atom
E: -4.18 eV per atom


[15]
DFT (PBE) results for a relaxed Cs2ZrI2F4 crystal.

abc: 7.730 7.730 9.832
angles: 90.00 90.00 90.00
Space group I4/mmm (No. 139)
One atom of each set of equivalent atoms:
Cs  0.000  0.500  0.250 [4 per cell]
Zr  0.000  0.000  0.000 [2 per cell]
I  0.000  0.000  0.299 [4 per cell]
F  0.185  0.185  0.000 [8 per cell]

Formation energy without anion corrections: -2.644 eV per atom
E: -4.96 eV per atom


[16]
DFT (PBE) results for a relaxed CsZr2IF crystal.

abc: 4.786 4.786 6.703
angles: 90.00 90.00 90.00
Space group P4/mmm (No. 123)
One atom of each set of equivalent atoms:
Cs  0.000  0.000  0.000 [1 per cell]
Zr  0.000  0.500  0.500 [2 per cell]
I  0.500  0.500  0.000 [1 per cell]
F  0.000  0.000  0.500 [1 per cell]

Formation energy without anion corrections: -0.192 eV per atom
E: -4.47 eV per atom


[17]
DFT (PBE) results for a relaxed CsInF3 crystal.

abc: 4.951 5.860 7.368
angles: 90.00 99.54 90.00
Space group P2_1/m (No. 11)
One atom of each set of equivalent atoms:
Cs  0.225  0.250  0.432 [2 per cell]
In  0.302  0.750  0.053 [2 per cell]
F  0.214  0.750  0.334 [2 per cell]
F  0.391  0.507  0.826 [4 per cell]

Formation energy without anion corrections: -2.321 eV per atom
E: -4.16 eV per atom


[18]
DFT (PBE) results for a relaxed Cs2In2F crystal.

abc: 7.694 7.694 7.388
angles: 90.00 90.00 90.00
Space group P4/mbm (No. 127)
One atom of each set of equivalent atoms:
Cs  0.190  0.310  0.000 [4 per cell]
In  0.135  0.635  0.500 [4 per cell]
F  0.000  0.000  0.000 [2 per cell]

Formation energy without anion corrections: -0.775 eV per atom
E: -2.59 eV per atom
Polymorph energy (0 for the lowest one): 182 meV/atom


[19]
DFT (PBE) results for a relaxed CsInF3 crystal.

abc: 7.382 7.718 7.715
angles: 90.00 90.00 90.00
Space group Pnma (No. 62)
One atom of each set of equivalent atoms:
Cs  0.000  0.000  0.000 [4 per cell]
In  0.024  0.250  0.459 [4 per cell]
F  0.107  0.550  0.374 [8 per cell]
F  0.183  0.750  0.735 [4 per cell]

Formation energy without anion corrections: -2.284 eV per atom
E: -4.13 eV per atom


[20]
DFT (PBE) results for a relaxed Cs3InF4 crystal.

abc: 7.848 8.788 14.119
angles: 90.00 90.00 90.00
Space group Pnma (No. 62)
One atom of each set of equivalent atoms:
Cs  0.061  0.013  0.245 [8 per cell]
Cs  0.156  0.750  0.511 [4 per cell]
In  0.168  0.750  0.012 [4 per cell]
F  0.040  0.250  0.875 [4 per cell]
F  0.174  0.077  0.588 [8 per cell]
F  0.185  0.750  0.716 [4 per cell]

Formation energy without anion corrections: -2.411 eV per atom
E: -4.01 eV per atom
Polymorph energy (0 for the lowest one): 11 meV/atom


[21]
DFT (PBE) results for a relaxed CsInF3 crystal.

abc: 4.437 4.437 24.182
angles: 90.00 90.00 90.00
Space group I-4m2 (No. 119)
One atom of each set of equivalent atoms:
Cs  0.000  0.000  0.000 [2 per cell]
Cs  0.000  0.500  0.250 [2 per cell]
In  0.000  0.500  0.630 [4 per cell]
F  0.000  0.000  0.322 [4 per cell]
F  0.000  0.248  0.110 [8 per cell]

Formation energy without anion corrections: -1.787 eV per atom
E: -3.63 eV per atom


[22]
DFT (PBE) results for a relaxed CsInF3 crystal.

abc: 8.854 16.026 5.847
angles: 90.00 90.00 90.00
Space group Cmce (No. 64)
One atom of each set of equivalent atoms:
Cs  0.250  0.175  0.250 [8 per cell]
In  0.000  0.046  0.707 [8 per cell]
F  0.000  0.078  0.065 [8 per cell]
F  0.000  0.177  0.626 [8 per cell]
F  0.250  0.060  0.750 [8 per cell]

Formation energy without anion corrections: -2.496 eV per atom
E: -4.34 eV per atom